(1)
The following is a DFT calculation (PBE) of an optimized crystal structure of PmSc2Si4.

Unit cell a=8.942 b=8.942 c=8.942 alpha=155.38 beta=153.51 gamma=36.48
Sites, in units of the cell vectors:
Pm (0.000, 0.000, 0.000)
Sc (0.184, 0.684, 0.500)
Sc (0.816, 0.316, 0.500)
Si (0.344, 0.844, 0.500)
Si (0.430, 0.430, 0.000)
Si (0.570, 0.570, 0.000)
Si (0.656, 0.156, 0.500)

Formation energy (no corrections) ... -0.741 eV/atom

=====

(2)
The following is a DFT calculation (PBE) of an optimized crystal structure of FeCo2P2.

Unit cell a=6.356 b=6.356 c=2.703 alpha=90.00 beta=90.00 gamma=90.00
Sites, in units of the cell vectors:
Fe (0.000, 0.000, 0.000)
Fe (0.500, 0.500, 0.000)
Co (0.140, 0.360, 0.500)
Co (0.360, 0.860, 0.500)
Co (0.640, 0.140, 0.500)
Co (0.860, 0.640, 0.500)
P (0.156, 0.656, 0.000)
P (0.344, 0.156, 0.000)
P (0.656, 0.844, 0.000)
P (0.844, 0.344, 0.000)

Calculated formation energy ... -0.284 eV/atom

=====

Number 1: magnetic moment 0.00 μB/cell, energy -44.296 eV for the cell shown. Number 2: magnetic moment 3.70 μB/cell, energy -69.831 eV for the cell shown.